Pr4MgGa | PBE | relaxed

Summary:
**Formation energy from the elements**: 0.0472 eV/atom
**Crystal system**: tetragonal
**Total magnetization**: 0.00 μB/f.u.
**Space-group type**: P4/mmm, No. 123

a b c (Å): 5.0315 5.0315 8.2350
angles (deg): 90.00 90.00 90.00
With the nearest neighbours (Å) after each atom.
Sites, in units of the cell vectors:
Pr1 0.0000 0.5000 0.2249  2 Ga 3.12, 2 Mg 3.39
Pr2 0.0000 0.5000 0.7751  2 Ga 3.12, 2 Mg 3.39
Pr3 0.5000 0.0000 0.2249  2 Ga 3.12, 2 Mg 3.39
Pr4 0.5000 0.0000 0.7751  2 Ga 3.12, 2 Mg 3.39
Mg1 0.0000 0.0000 0.5000  8 Pr 3.39
Ga1 0.5000 0.5000 0.0000  8 Pr 3.12

PrMg3Ga2 | PBE | relaxed

Summary:
**Formation energy from the elements**: -0.3149 eV/atom
**Crystal system**: monoclinic
**Total magnetization**: 0.00 μB/f.u.
**Space-group type**: C2/m, No. 12
**Polymorph energy (0 for the lowest one)**: 0.024 eV per atom

a b c (Å): 8.6545 8.6545 8.4916
angles (deg): 119.36 119.36 30.36
With the nearest neighbours (Å) after each atom.
Sites, in units of the cell vectors:
Pr1 0.1321 0.1321 0.1317  6 Ga 3.21-3.30, 8 Mg 3.35-3.49
Pr2 0.8679 0.8679 0.8683  6 Ga 3.21-3.30, 8 Mg 3.35-3.49
Mg1 0.0004 0.0004 0.3329  2 Ga 2.76, 1 Mg 2.84
Mg2 0.9996 0.9996 0.6671  2 Ga 2.76, 1 Mg 2.84
Mg3 0.3353 0.3353 0.5281  3 Ga 2.73-2.84
Mg4 0.3357 0.3357 0.1435  3 Ga 2.73-2.84
Mg5 0.6643 0.6643 0.8565  3 Ga 2.73-2.84
Mg6 0.6647 0.6647 0.4719  3 Ga 2.73-2.84
Ga1 0.2011 0.2011 0.7010  4 Mg 2.84
Ga2 0.5001 0.5001 0.1477  1 Ga 2.51, 4 Mg 2.73-2.76
Ga3 0.4999 0.4999 0.8523  1 Ga 2.51, 4 Mg 2.73-2.76
Ga4 0.7989 0.7989 0.2990  4 Mg 2.84

Pr2Mg3Ga4 | PBE | relaxed

Summary:
**Formation energy from the elements**: -0.3779 eV/atom
**Crystal system**: orthorhombic
**Total magnetization**: 0.00 μB/f.u.
**Space-group type**: Cmce, No. 64

a b c (Å): 8.8642 8.8642 7.9016
angles (deg): 90.00 90.00 139.25
With the nearest neighbours (Å) after each atom.
Sites, in units of the cell vectors:
Pr1 0.1002 0.8998 0.9039  7 Ga 3.19-3.39, 2 Mg 3.40
Pr2 0.3998 0.6002 0.4039  7 Ga 3.19-3.39, 2 Mg 3.40
Pr3 0.6002 0.3998 0.5961  7 Ga 3.19-3.39, 2 Mg 3.40
Pr4 0.8998 0.1002 0.0961  7 Ga 3.19-3.39, 2 Mg 3.40
Mg1 0.0000 0.0000 0.5000  6 Ga 2.74-2.80
Mg2 0.0171 0.4829 0.7500  5 Ga 2.78-2.90, 2 Mg 3.09
Mg3 0.4829 0.0171 0.2500  5 Ga 2.78-2.90, 2 Mg 3.09
Mg4 0.5000 0.5000 0.0000  6 Ga 2.74-2.80
Mg5 0.5171 0.9829 0.7500  5 Ga 2.78-2.90, 2 Mg 3.09
Mg6 0.9829 0.5171 0.2500  5 Ga 2.78-2.90, 2 Mg 3.09
Ga1 0.1681 0.8319 0.5189  5 Mg 2.80-2.90, 2 Ga 3.13
Ga2 0.1841 0.3159 0.7500  3 Mg 2.74-2.78
Ga3 0.3159 0.1841 0.2500  3 Mg 2.74-2.78
Ga4 0.3319 0.6681 0.0189  5 Mg 2.80-2.90, 2 Ga 3.13
Ga5 0.6681 0.3319 0.9811  5 Mg 2.80-2.90, 2 Ga 3.13
Ga6 0.6841 0.8159 0.7500  3 Mg 2.74-2.78
Ga7 0.8159 0.6841 0.2500  3 Mg 2.74-2.78
Ga8 0.8319 0.1681 0.4811  5 Mg 2.80-2.90, 2 Ga 3.13

Pr2MgGa3 | PBE | relaxed

Summary:
**Formation energy from the elements**: -0.5290 eV/atom
**Crystal system**: orthorhombic
**Total magnetization**: 0.00 μB/f.u.
**Space-group type**: Fmmm, No. 69

a b c (Å): 9.2203 8.8524 6.0178
angles (deg): 73.89 67.28 38.83
With the nearest neighbours (Å) after each atom.
Sites, in units of the cell vectors:
Pr1 0.2475 0.7525 0.7525  10 Ga 3.23-3.32, 2 Mg 3.30
Pr2 0.2500 0.2500 0.2500  4 Mg 3.29, 8 Ga 3.30-3.31
Pr3 0.7500 0.7500 0.7500  4 Mg 3.29, 8 Ga 3.30-3.31
Pr4 0.7525 0.2475 0.2475  10 Ga 3.23-3.32, 2 Mg 3.30
Mg1 0.3328 0.3328 0.6672  3 Ga 2.70-2.72
Mg2 0.6672 0.6672 0.3328  3 Ga 2.70-2.72
Ga1 0.1634 0.1634 0.8366  2 Ga 2.61, 1 Mg 2.70
Ga2 0.1632 0.6731 0.3269  2 Ga 2.61, 1 Mg 2.72
Ga3 0.3269 0.8368 0.1632  2 Ga 2.61, 1 Mg 2.72
Ga4 0.6731 0.1632 0.8368  2 Ga 2.61, 1 Mg 2.72
Ga5 0.8368 0.3269 0.6731  2 Ga 2.61, 1 Mg 2.72
Ga6 0.8366 0.8366 0.1634  2 Ga 2.61, 1 Mg 2.70

Pr4Mg3Ga | PBE | relaxed

Summary:
**Formation energy from the elements**: -0.2171 eV/atom
**Crystal system**: tetragonal
**Total magnetization**: 0.00 μB/f.u.
**Space-group type**: P4/mmm, No. 123

a b c (Å): 3.8409 3.8409 15.6581
angles (deg): 90.00 90.00 90.00
With the nearest neighbours (Å) after each atom.
Sites, in units of the cell vectors:
Pr1 0.0000 0.0000 0.1120  4 Ga 3.23, 4 Mg 3.42, 1 Pr 3.51
Pr2 0.0000 0.0000 0.3705  8 Mg 3.35-3.39
Pr3 0.0000 0.0000 0.6295  8 Mg 3.35-3.39
Pr4 0.0000 0.0000 0.8880  4 Ga 3.23, 4 Mg 3.42, 1 Pr 3.51
Mg1 0.5000 0.5000 0.2452  8 Pr 3.35-3.42
Mg2 0.5000 0.5000 0.5000  8 Pr 3.39
Mg3 0.5000 0.5000 0.7548  8 Pr 3.35-3.42
Ga1 0.5000 0.5000 0.0000  8 Pr 3.23

Pr3MgGa2 | PBE | relaxed

Summary:
**Formation energy from the elements**: -0.3918 eV/atom
**Crystal system**: tetragonal
**Total magnetization**: 0.00 μB/f.u.
**Space-group type**: P4/mmm, No. 123
**Polymorph energy (0 for the lowest one)**: 0.013 eV per atom

a b c (Å): 3.7016 3.7016 11.9078
angles (deg): 90.00 90.00 90.00
With the nearest neighbours (Å) after each atom.
Sites, in units of the cell vectors:
Pr1 0.0000 0.0000 0.0000  8 Ga 3.27
Pr2 0.0000 0.0000 0.3168  4 Ga 3.18, 4 Mg 3.41
Pr3 0.0000 0.0000 0.6832  4 Ga 3.18, 4 Mg 3.41
Mg1 0.5000 0.5000 0.5000  8 Pr 3.41, 4 Mg 3.70
Ga1 0.5000 0.5000 0.1646  8 Pr 3.18-3.27
Ga2 0.5000 0.5000 0.8354  8 Pr 3.18-3.27